*P*
{
  "formula": "CeHo5Tl4",
  "functional": "PBE-GGA",
  "state": "optimized geometry",
  "lattice_angstrom": [[3.556, 0.000, 0.000], [0.000, 3.556, 0.000], [0.000, 0.000, 21.818]],
  "species": ["Ce", "Ho", "Ho", "Ho", "Ho", "Ho", "Tl", "Tl", "Tl", "Tl"],
  "fractional_positions": [[0.000, 0.000, 0.000], [0.500, 0.500, 0.110], [0.500, 0.500, 0.305], [0.500, 0.500, 0.500], [0.500, 0.500, 0.695], [0.500, 0.500, 0.890], [0.000, 0.000, 0.206], [0.000, 0.000, 0.402], [0.000, 0.000, 0.598], [0.000, 0.000, 0.794]],
  "spacegroup": "P4/mmm"
}

---

*Q*
{
  "formula": "CeHo5Tl4",
  "functional": "PBE-GGA",
  "state": "optimized geometry",
  "lattice_angstrom": [[8.558, 0.000, 0.000], [0.000, 9.188, 0.000], [0.000, 0.000, 8.233]],
  "species": ["Ce", "Ce", "Ho", "Ho", "Ho", "Ho", "Ho", "Ho", "Ho", "Ho", "Ho", "Ho", "Tl", "Tl", "Tl", "Tl", "Tl", "Tl", "Tl", "Tl"],
  "fractional_positions": [[0.250, 0.250, 0.152], [0.750, 0.750, 0.848], [0.027, 0.553, 0.237], [0.027, 0.947, 0.237], [0.250, 0.750, 0.583], [0.473, 0.553, 0.237], [0.473, 0.947, 0.237], [0.527, 0.053, 0.763], [0.527, 0.447, 0.763], [0.750, 0.250, 0.417], [0.973, 0.053, 0.763], [0.973, 0.447, 0.763], [0.084, 0.750, 0.935], [0.250, 0.087, 0.514], [0.250, 0.413, 0.514], [0.416, 0.750, 0.935], [0.584, 0.250, 0.065], [0.750, 0.587, 0.486], [0.750, 0.913, 0.486], [0.916, 0.250, 0.065]],
  "spacegroup": "Pmmn"
}

---

Which one sits at the top of the stability order? *P* does.

---

*P*
{
  "formula": "CeHo2Tl4",
  "functional": "PBE-GGA",
  "state": "optimized geometry",
  "lattice_angstrom": [[2.469, 1.425, 10.028], [-2.469, 1.425, 10.028], [0.000, -2.851, 10.028]],
  "species": ["Ce", "Ho", "Ho", "Tl", "Tl", "Tl", "Tl"],
  "fractional_positions": [[0.000, 0.000, 0.000], [0.129, 0.129, 0.129], [0.871, 0.871, 0.871], [0.242, 0.242, 0.242], [0.385, 0.385, 0.385], [0.615, 0.615, 0.615], [0.758, 0.758, 0.758]],
  "spacegroup": "R-3m"
}

---

*Q*
{
  "formula": "CeHo2Tl4",
  "functional": "PBE-GGA",
  "state": "optimized geometry",
  "lattice_angstrom": [[5.253, 0.000, 0.000], [0.000, 5.253, 0.000], [0.000, 0.000, 7.675]],
  "species": ["Ce", "Ho", "Ho", "Tl", "Tl", "Tl", "Tl"],
  "fractional_positions": [[0.000, 0.000, 0.000], [0.000, 0.000, 0.500], [0.500, 0.500, 0.000], [0.000, 0.500, 0.273], [0.000, 0.500, 0.727], [0.500, 0.000, 0.273], [0.500, 0.000, 0.727]],
  "spacegroup": "P4/mmm"
}

---

Which one sits at the top of the stability order? *Q* does.